VASP calculation (PBE) on an optimized crystal structure of DyHo2Ni2B2P3.

Summary:
- space group = No. 139

Cell: 10.963 10.963 10.963 Å, 159.38 159.38 29.32°
Fractional coordinates of all 10 atoms:
Dy1 0.000 0.000 0.000
Ho1 0.363 0.363 0.000
Ho2 0.637 0.637 0.000
Ni1 0.250 0.750 0.500
Ni2 0.750 0.250 0.500
B1 0.219 0.219 0.000
B2 0.781 0.781 0.000
P1 0.128 0.128 0.000
P2 0.500 0.500 0.000
P3 0.872 0.872 0.000

VASP calculation (PBE) on an optimized crystal structure of Dy2HoNi2B2P3.

Summary:
- space group = No. 139

Cell: 10.971 10.971 10.971 Å, 159.37 159.37 29.34°
Fractional coordinates of all 10 atoms:
Dy1 0.137 0.137 0.000
Dy2 0.863 0.863 0.000
Ho1 0.500 0.500 0.000
Ni1 0.250 0.750 0.500
Ni2 0.750 0.250 0.500
B1 0.281 0.281 0.000
B2 0.719 0.719 0.000
P1 0.000 0.000 0.000
P2 0.372 0.372 0.000
P3 0.628 0.628 0.000

VASP calculation (PBE) on an optimized crystal structure of DyHoBPb.

Summary:
- space group = No. 187

Cell: 3.690 3.690 16.672 Å, 90.00 90.00 120.00°
Fractional coordinates of all 8 atoms:
Dy1 0.000 0.000 0.161
Dy2 0.000 0.000 0.839
Ho1 0.667 0.333 0.339
Ho2 0.667 0.333 0.661
B1 0.333 0.667 0.251
B2 0.333 0.667 0.749
Pb1 0.000 0.000 0.500
Pb2 0.667 0.333 0.000

VASP calculation (PBE) on an optimized crystal structure of DyHoBPb.

Summary:
- space group = No. 164

Cell: 3.689 3.689 16.674 Å, 90.00 90.00 120.00°
Fractional coordinates of all 8 atoms:
Dy1 0.333 0.667 0.410
Dy2 0.667 0.333 0.590
Ho1 0.333 0.667 0.089
Ho2 0.667 0.333 0.911
B1 0.000 0.000 0.000
B2 0.000 0.000 0.500
Pb1 0.333 0.667 0.751
Pb2 0.667 0.333 0.249

VASP calculation (PBE) on an optimized crystal structure of DyHo3B2Pb2.

Summary:
- space group = No. 156

Cell: 3.683 3.683 16.658 Å, 90.00 90.00 120.00°
Fractional coordinates of all 8 atoms:
Dy1 0.000 0.000 0.000
Ho1 0.000 0.000 0.678
Ho2 0.667 0.333 0.179
Ho3 0.667 0.333 0.500
B1 0.333 0.667 0.090
B2 0.333 0.667 0.589
Pb1 0.000 0.000 0.340
Pb2 0.667 0.333 0.839

VASP calculation (PBE) on an optimized crystal structure of DyHo3Tl2B2.

Summary:
- space group = No. 156

Cell: 3.633 3.633 16.866 Å, 90.00 90.00 120.00°
Fractional coordinates of all 8 atoms:
Dy1 0.000 0.000 0.000
Ho1 0.000 0.000 0.318
Ho2 0.333 0.667 0.500
Ho3 0.333 0.667 0.817
Tl1 0.000 0.000 0.659
Tl2 0.333 0.667 0.160
B1 0.667 0.333 0.409
B2 0.667 0.333 0.908

| no. | total DFT energy (no corrections) (eV per cell) |
| --- | --- |
| 1 | -63.6 |
| 2 | -63.7 |
| 3 | -40.8 |
| 4 | -40.8 |
| 5 | -40.8 |
| 6 | -37.2 |